Crystalline LiTcOs at its relaxed geometry. Source: Alexandria via LeMat-Bulk, functional GGA-PBE.

Unit cell a=4.1445 b=4.1396 c=7.4588 alpha=90.17 beta=73.87 gamma=59.96
Last column: nearest neighbours and their distance in Å.
Element x y z (fractional)
Li 0.4095 0.7978 0.3832  4 Tc 2.79-3.10, 3 Li 2.89-2.93, 3 Os 3.03
Li 0.5905 0.2022 0.6168  4 Tc 2.79-3.10, 3 Li 2.89-2.93, 3 Os 3.03
Os 0.7481 0.6243 0.8795  3 Tc 2.42-2.43
Os 0.2519 0.3757 0.1205  3 Tc 2.42-2.43
Tc 0.1201 0.9377 0.8220  3 Os 2.42-2.43, 1 Tc 2.51
Tc 0.8799 0.0623 0.1780  3 Os 2.42-2.43, 1 Tc 2.51

Relative energy among the computed polymorphs in meV per atom: 421
ΔH_f (0 K) in eV per atom: 0.57